Entry 1:
Computed, not measured: an optimized crystal structure of CaPu2Se4 at the PBE level of DFT.

Output
total magnetic moment = 20.00 μB per cell

Cell lengths 7.606, 7.606, 7.606 Å; angles 109.67, 109.67, 109.08 degrees
Sites, in units of the cell vectors:
Ca  0.000  0.000  0.000
Ca  0.750  0.250  0.500
Pu  0.247  0.625  0.122
Pu  0.375  0.497  0.622
Pu  0.503  0.125  0.878
Pu  0.875  0.753  0.378
Se  0.130  0.231  0.749
Se  0.131  0.732  0.751
Se  0.268  0.019  0.399
Se  0.482  0.381  0.251
Se  0.619  0.870  0.101
Se  0.620  0.869  0.601
Se  0.769  0.518  0.899
Se  0.981  0.380  0.249


Entry 2:
Computed, not measured: an optimized crystal structure of Ca3PuSe4 at the PBE level of DFT.

Output
total magnetic moment = 5.95 μB per cell

Cell lengths 7.300, 7.300, 4.201 Å; angles 90.00, 90.00, 109.62 degrees
Sites, in units of the cell vectors:
Ca  0.000  0.000  0.000
Ca  0.000  0.500  0.500
Ca  0.500  0.000  0.500
Pu  0.500  0.500  0.000
Se  0.250  0.750  0.000
Se  0.251  0.251  0.500
Se  0.749  0.749  0.500
Se  0.750  0.250  0.000


| no. | raw total energy (Ha/atom) |
| --- | --- |
| 1 | -0.294 |
| 2 | -0.226 |